(1)
Compound: NiSnIN2
Source: the Alexandria database
Functional: PBE
Structure: relaxed

Output
Symmetry: P4/mmm
E_form (uncorrected), kJ per mole of atoms: 142
Electronic total energy, eV/atom: -4.13

a b c (Å): 4.014 4.014 6.855
angles (deg): 90.00 90.00 90.00
Positions (direct):
N 0.500 0.000 0.000
N 0.000 0.500 0.000
Sn 0.000 0.000 0.000
I 0.000 0.000 0.500
Ni 0.500 0.500 0.500

=====

(2)
Compound: SrNiI2N
Source: the Alexandria database
Functional: PBE
Structure: relaxed

Output
Symmetry: P4/mmm
E_form (uncorrected), kJ per mole of atoms: 74
Electronic total energy, eV/atom: -3.01

a b c (Å): 6.385 6.385 4.955
angles (deg): 90.00 90.00 90.00
Positions (direct):
Ni 0.500 0.500 0.500
N 0.000 0.000 0.500
Sr 0.000 0.000 0.000
I 0.000 0.500 0.000
I 0.500 0.000 0.000

=====

(3)
Compound: SrNiI2N
Source: the Alexandria database
Functional: PBE
Structure: relaxed

Output
Symmetry: P4/mmm
E_form (uncorrected), kJ per mole of atoms: -17
Electronic total energy, eV/atom: -3.95

a b c (Å): 5.836 5.836 3.645
angles (deg): 90.00 90.00 90.00
Positions (direct):
Sr 0.500 0.500 0.500
Ni 0.000 0.000 0.000
N 0.000 0.000 0.500
I 0.000 0.500 0.000
I 0.500 0.000 0.000

=====

(4)
Compound: SrNiIN2
Source: the Alexandria database
Functional: PBE
Structure: relaxed

Output
Symmetry: P4/mmm
E_form (uncorrected), kJ per mole of atoms: 158
Electronic total energy, eV/atom: -3.49

a b c (Å): 4.805 4.805 6.732
angles (deg): 90.00 90.00 90.00
Positions (direct):
I 0.000 0.000 0.500
Sr 0.000 0.000 0.000
N 0.500 0.000 0.000
N 0.000 0.500 0.000
Ni 0.500 0.500 0.500

=====

(5)
Compound: SrNiIN2
Source: the Alexandria database
Functional: PBE
Structure: relaxed

Output
Symmetry: P4/mmm
E_form (uncorrected), kJ per mole of atoms: 71
Electronic total energy, eV/atom: -4.40

a b c (Å): 4.243 4.243 5.179
angles (deg): 90.00 90.00 90.00
Positions (direct):
I 0.000 0.000 0.500
Ni 0.000 0.000 0.000
N 0.000 0.500 0.000
N 0.500 0.000 0.000
Sr 0.500 0.500 0.500

=====

(6)
Compound: TaNiI2N
Source: the Alexandria database
Functional: PBE
Structure: relaxed

Output
Symmetry: P4/mmm
E_form (uncorrected), kJ per mole of atoms: 102
Electronic total energy, eV/atom: -4.76

a b c (Å): 5.490 5.490 3.432
angles (deg): 90.00 90.00 90.00
Positions (direct):
I 0.500 0.000 0.000
I 0.000 0.500 0.000
Ta 0.500 0.500 0.500
Ni 0.000 0.000 0.000
N 0.000 0.000 0.500